1.
The following is a DFT calculation (PBE-GGA) of crystalline Th2Co4P3Rh at its relaxed geometry.

POSCAR file:
```
Th2Co4P3Rh
1.0
3.818 0.000 0.000
0.000 3.818 0.000
0.000 0.000 10.338
Th P Co Rh
2 3 4 1
Direct
0.500 0.000 0.255
0.000 0.500 0.745
0.500 0.000 0.880
0.000 0.500 0.120
0.000 0.000 0.500
0.000 0.000 0.000
0.500 0.500 0.000
0.500 0.000 0.666
0.000 0.500 0.334
0.500 0.500 0.500
```

Results
The total DFT energy (no corrections) comes out at -7.52 eV per atom.

2.
The following is a DFT calculation (PBE-GGA) of crystalline U2Co4P3Rh at its relaxed geometry.

POSCAR file:
```
U2Co4P3Rh
1.0
3.674 0.000 0.000
0.000 3.674 0.000
0.000 0.000 10.354
Co P U Rh
4 3 2 1
Direct
0.000 0.000 0.000
0.500 0.500 0.000
0.500 0.000 0.670
0.000 0.500 0.330
0.000 0.500 0.119
0.500 0.000 0.881
0.000 0.000 0.500
0.000 0.500 0.748
0.500 0.000 0.252
0.500 0.500 0.500
```

Results
The total DFT energy (no corrections) comes out at -8.17 eV per atom.

Energy relative to the elements (computed, eV/atom): -0.84; -0.71
Spin magnetization (computed, μB/atom): 0.027; 0.242